Record 1
Crystalline TaTl2Sb at its relaxed geometry. Source: Alexandria via LeMat-Bulk, functional PBE.

Computed properties:
The relative energy among the computed polymorphs is 363 meV per atom. The total magnetic moment is 0.000 μB per atom. The crystal system is orthorhombic. The density comes out at 12.071 g cm⁻³. The calculation puts the uncorrected formation energy at 2.49 eV/f.u.

The structure in POSCAR format:
```
TaTl2Sb
1.0
3.177 0.000 0.000
0.000 5.273 0.000
0.000 0.000 5.841
Tl Ta Sb
2 1 1
Cartesian
0.000 0.000 2.956 Tl
0.000 0.000 5.806 Tl
1.589 2.637 4.381 Ta
1.589 2.637 1.460 Sb
```

Record 2
Crystalline Re2NiAu at its relaxed geometry. Source: Alexandria via LeMat-Bulk, functional PBE.

Computed properties:
The relative energy among the computed polymorphs is 541 meV per atom. The total magnetic moment is 0.000 μB per atom. The crystal system is cubic. The density comes out at 17.649 g cm⁻³. The value obtained for the formation energy is 0.74 eV per atom.

The structure in POSCAR format:
```
Re2NiAu
1.0
0.000 3.091 3.091
3.091 0.000 3.091
3.091 3.091 0.000
Au Re Ni
1 2 1
Cartesian
3.091 3.091 3.091 Au
1.546 1.546 1.546 Re
4.637 4.637 4.637 Re
0.000 0.000 0.000 Ni
```

Record 3
Crystalline BeCu3Tc at its relaxed geometry. Source: Alexandria via LeMat-Bulk, functional PBE.

Computed properties:
The relative energy among the computed polymorphs is 0 meV per atom. The total magnetic moment is 0.030 μB per atom. The crystal system is cubic. The density comes out at 8.003 g cm⁻³. The value obtained for the formation energy is 0.63 eV per atom.

The structure in POSCAR format:
```
BeCu3Tc
1.0
3.953 0.000 0.000
0.000 3.953 0.000
0.000 0.000 3.953
Be Cu Tc
1 3 1
Cartesian
0.000 0.000 0.000 Be
0.000 0.000 1.976 Cu
0.000 1.976 0.000 Cu
1.976 0.000 0.000 Cu
1.976 1.976 1.976 Tc
```

Record 4
Crystalline LaGdLuIn at its relaxed geometry. Source: Alexandria via LeMat-Bulk, functional PBE.

Computed properties:
The total magnetic moment is 2.048 μB per atom. The crystal system is cubic. The density comes out at 8.138 g cm⁻³. The value obtained for the formation energy is -0.19 eV per atom.

The structure in POSCAR format:
```
LaGdLuIn
1.0
5.530 0.000 0.000
2.765 4.789 0.000
2.765 1.596 4.515
Lu In La Gd
1 1 1 1
Cartesian
8.295 4.789 3.386 Lu
2.765 1.596 1.129 In
0.000 0.000 0.000 La
5.530 3.193 2.257 Gd
```

Record 5
Crystalline Nd4Ga2H at its relaxed geometry. Source: Alexandria via LeMat-Bulk, functional PBE.

Computed properties:
The relative energy among the computed polymorphs is 0 meV per atom. The total magnetic moment is 0.000 μB per atom. The crystal system is monoclinic. The density comes out at 6.557 g cm⁻³.

The structure in POSCAR format:
```
Nd4Ga2H
1.0
-3.172 -1.027 5.423
4.854 -4.240 2.037
5.691 6.948 0.900
Nd Ga H
8 4 2
Cartesian
-1.206 -1.439 5.488 Nd
5.539 -0.663 2.244 Nd
7.493 0.366 5.252 Nd
5.103 2.454 4.249 Nd
-0.120 1.314 3.108 Nd
1.834 2.344 6.116 Nd
8.579 3.119 2.872 Nd
2.270 -0.773 4.110 Nd
2.891 1.642 2.136 Ga
4.483 0.039 6.224 Ga
1.692 -3.592 5.316 Ga
5.682 5.273 3.044 Ga
3.918 -2.095 3.126 H
3.455 3.775 5.234 H
```

Record 6
Crystalline Sc2Cd5Ag at its relaxed geometry. Source: Alexandria via LeMat-Bulk, functional PBE.

Computed properties:
The total magnetic moment is 0.000 μB per atom. The crystal system is trigonal. The density comes out at 7.382 g cm⁻³. The value obtained for the formation energy is -0.15 eV per atom.

The structure in POSCAR format:
```
Sc2Cd5Ag
1.0
4.641 0.000 1.469
2.088 4.145 1.469
-0.227 -0.140 8.786
Ag Cd Sc
1 5 2
Cartesian
0.000 0.000 0.000 Ag
2.324 1.431 8.792 Cd
4.879 3.005 8.784 Cd
3.251 2.002 5.862 Cd
4.178 2.574 2.932 Cd
1.623 1.000 2.939 Cd
0.690 0.425 5.887 Sc
5.812 3.580 5.836 Sc
```